[1]
DFT (PBE) results for an optimized crystal structure of TaSiBr2.

V   104.22 Å³/f.u.
Relative energy among the computed polymorphs   0.0 meV per atom
Raw total energy   -21.83 eV per cell
Calculated density   5.88 g/cm3

a = 3.502 Å, b = 3.681 Å, c = 8.286 Å
α = 77.37°, β = 90.00°, γ = 90.00°
Atoms (fractional coordinates):
1 Si 0.000 0.510 0.605
2 Ta 0.500 0.987 0.650
3 Br 0.500 0.144 0.333
4 Br 0.000 0.859 0.912

=====

[2]
DFT (PBE) results for an optimized crystal structure of Ta2SiBr.

V   73.58 Å³/f.u.
Relative energy among the computed polymorphs   399.3 meV per atom
Raw total energy   -28.82 eV per cell
Calculated density   10.60 g/cm3

a = 2.907 Å, b = 5.579 Å, c = 4.537 Å
α = 90.00°, β = 90.00°, γ = 90.00°
Atoms (fractional coordinates):
1 Ta 0.500 0.500 0.000
2 Ta 0.000 0.000 0.000
3 Br 0.500 0.000 0.500
4 Si 0.000 0.500 0.500

=====

[3]
DFT (PBE) results for an optimized crystal structure of TaSiBr2.

V   107.69 Å³/f.u.
Relative energy among the computed polymorphs   743.2 meV per atom
Raw total energy   -18.86 eV per cell
Calculated density   5.69 g/cm3

a = 3.292 Å, b = 3.292 Å, c = 12.045 Å
α = 90.00°, β = 90.00°, γ = 124.42°
Atoms (fractional coordinates):
1 Br 0.000 0.000 0.573
2 Br 0.000 0.000 0.927
3 Ta 0.500 0.500 0.750
4 Si 0.500 0.500 0.250

=====

[4]
DFT (PBE) results for an optimized crystal structure of TaSiBr2.

V   110.47 Å³/f.u.
Relative energy among the computed polymorphs   151.2 meV per atom
Raw total energy   -21.22 eV per cell
Calculated density   5.54 g/cm3

a = 3.557 Å, b = 3.561 Å, c = 8.723 Å
α = 90.00°, β = 90.00°, γ = 90.00°
Atoms (fractional coordinates):
1 Br 0.000 0.000 0.934
2 Br 0.500 0.500 0.311
3 Ta 0.500 0.500 0.587
4 Si 0.000 0.000 0.669